Entry 1:
First-principles (PBE) data for crystalline YSnHgPt at its relaxed geometry, as listed in Alexandria.

Properties
total moment	0.000	μB/f.u.
calculated volume	21.99	Å³/atom
DFT formation energy	-236	kJ/mol of formula units

Cell and atoms, written as CIF:
```
data_YSnHgPt
_cell_length_a 7.059
_cell_length_b 7.059
_cell_length_c 7.059
_cell_angle_alpha 90.00
_cell_angle_beta 90.00
_cell_angle_gamma 90.00
_symmetry_space_group_name_H-M 'F -4 3 m'
_symmetry_Int_Tables_number 216
_symmetry_space_group_name_Hall 'F -4 2 3'
loop_
_atom_site_label
_atom_site_fract_x
_atom_site_fract_y
_atom_site_fract_z
_atom_site_occupancy
Y1 0.000 0.000 0.000 1
Sn1 0.000 0.000 0.500 1
Hg1 0.250 0.250 0.750 1
Pt1 0.250 0.250 0.250 1
```

***

Entry 2:
First-principles (PBE) data for crystalline Zn2SnHgPt at its relaxed geometry, as listed in Alexandria.

Properties
total moment	0.000	μB/f.u.
calculated volume	24.86	Å³/atom
DFT formation energy	-51	kJ/mol of formula units

Cell and atoms, written as CIF:
```
data_Zn2SnHgPt
_cell_length_a 4.949
_cell_length_b 4.949
_cell_length_c 5.076
_cell_angle_alpha 90.00
_cell_angle_beta 90.00
_cell_angle_gamma 90.00
_symmetry_space_group_name_H-M 'P 4/m m m'
_symmetry_Int_Tables_number 123
_symmetry_space_group_name_Hall '-P 4 2'
loop_
_atom_site_label
_atom_site_fract_x
_atom_site_fract_y
_atom_site_fract_z
_atom_site_occupancy
Zn1 0.000 0.500 0.000 1
Sn1 0.000 0.000 0.500 1
Hg1 0.500 0.500 0.500 1
Pt1 0.000 0.000 0.000 1
```

***

Entry 3:
First-principles (PBE) data for crystalline Sr2Hg5Pt at its relaxed geometry, as listed in Alexandria.

Properties
total moment	0.000	μB/f.u.
calculated volume	27.94	Å³/atom
DFT formation energy	-319	kJ/mol of formula units

Cell and atoms, written as CIF:
```
data_Sr2Hg5Pt
_cell_length_a 4.309
_cell_length_b 20.289
_cell_length_c 10.227
_cell_angle_alpha 90.00
_cell_angle_beta 90.00
_cell_angle_gamma 90.00
_symmetry_space_group_name_H-M 'C m c m'
_symmetry_Int_Tables_number 63
_symmetry_space_group_name_Hall '-C 2c 2'
loop_
_atom_site_label
_atom_site_fract_x
_atom_site_fract_y
_atom_site_fract_z
_atom_site_occupancy
Sr1 0.000 0.000 0.000 1
Sr2 0.000 0.174 0.250 1
Hg1 0.000 0.212 0.607 1
Hg2 0.000 0.370 0.516 1
Hg3 0.000 0.422 0.250 1
Pt1 0.000 0.440 0.750 1
```

***

Entry 4:
First-principles (PBE) data for crystalline Sr4Hg2Pt at its relaxed geometry, as listed in Alexandria.

Properties
total moment	0.001	μB/f.u.
distance to the lowest polymorph of the same formula	0.240	eV/atom
calculated volume	42.90	Å³/atom
DFT formation energy	-211	kJ/mol of formula units

Cell and atoms, written as CIF:
```
data_Sr4Hg2Pt
_cell_length_a 5.644
_cell_length_b 5.644
_cell_length_c 18.853
_cell_angle_alpha 90.00
_cell_angle_beta 90.00
_cell_angle_gamma 90.00
_symmetry_space_group_name_H-M 'I 4/m m m'
_symmetry_Int_Tables_number 139
_symmetry_space_group_name_Hall '-I 4 2'
loop_
_atom_site_label
_atom_site_fract_x
_atom_site_fract_y
_atom_site_fract_z
_atom_site_occupancy
Sr1 0.000 0.000 0.183 1
Sr2 0.000 0.500 0.000 1
Hg1 0.000 0.000 0.355 1
Pt1 0.000 0.000 0.500 1
```

***

Entry 5:
First-principles (PBE) data for crystalline SrHg2Pt at its relaxed geometry, as listed in Alexandria.

Properties
total moment	0.000	μB/f.u.
calculated volume	26.64	Å³/atom
DFT formation energy	-162	kJ/mol of formula units

Cell and atoms, written as CIF:
```
data_SrHg2Pt
_cell_length_a 4.109
_cell_length_b 4.331
_cell_length_c 11.974
_cell_angle_alpha 90.00
_cell_angle_beta 90.00
_cell_angle_gamma 90.00
_symmetry_space_group_name_H-M 'A m m 2'
_symmetry_Int_Tables_number 38
loop_
_symmetry_equiv_pos_as_xyz
'x,y,z'
'-x,-y,z'
'-x,y,z'
'x,-y,z'
'x,y+1/2,z+1/2'
'-x,-y+1/2,z+1/2'
'-x,y+1/2,z+1/2'
'x,-y+1/2,z+1/2'
loop_
_atom_site_label
_atom_site_fract_x
_atom_site_fract_y
_atom_site_fract_z
_atom_site_occupancy
Sr1 0.000 0.000 0.000 1
Hg1 0.000 0.000 0.723 1
Hg2 0.500 0.000 0.325 1
Pt1 0.500 0.000 0.561 1
```

***

Entry 6:
First-principles (PBE) data for crystalline SrHgPt2 at its relaxed geometry, as listed in Alexandria.

Properties
total moment	0.000	μB/f.u.
calculated volume	24.86	Å³/atom
DFT formation energy	-194	kJ/mol of formula units

Cell and atoms, written as CIF:
```
data_SrHgPt2
_cell_length_a 4.4719
_cell_length_b 4.4719
_cell_length_c 17.2280
_cell_angle_alpha 90.00
_cell_angle_beta 90.00
_cell_angle_gamma 120.00
_symmetry_space_group_name_H-M 'R 3 m'
_symmetry_Int_Tables_number 160
_symmetry_space_group_name_Hall 'R 3 -2"'
loop_
_atom_site_label
_atom_site_fract_x
_atom_site_fract_y
_atom_site_fract_z
_atom_site_occupancy
Sr1 0.0000 0.0000 0.0000 1
Hg1 0.0000 0.0000 0.7901 1
Pt1 0.0000 0.0000 0.2145 1
Pt2 0.0000 0.0000 0.5480 1
```

***

Entry 7:
First-principles (PBE) data for crystalline SrHgPt3 at its relaxed geometry, as listed in Alexandria.

Properties
total moment	0.000	μB/f.u.
distance to the lowest polymorph of the same formula	0.995	eV/atom
calculated volume	28.94	Å³/atom
DFT formation energy	663	kJ/mol of formula units

Cell and atoms, written as CIF:
```
data_SrHgPt3
_cell_length_a 5.250
_cell_length_b 5.250
_cell_length_c 5.250
_cell_angle_alpha 90.00
_cell_angle_beta 90.00
_cell_angle_gamma 90.00
_symmetry_space_group_name_H-M 'P m -3 m'
_symmetry_Int_Tables_number 221
_symmetry_space_group_name_Hall '-P 4 2 3'
loop_
_atom_site_label
_atom_site_fract_x
_atom_site_fract_y
_atom_site_fract_z
_atom_site_occupancy
Sr1 0.000 0.000 0.000 1
Hg1 0.500 0.500 0.500 1
Pt1 0.000 0.000 0.500 1
```

***

Entry 8:
First-principles (PBE) data for crystalline SrHg5Pt at its relaxed geometry, as listed in Alexandria.

Properties
total moment	0.000	μB/f.u.
calculated volume	26.33	Å³/atom
DFT formation energy	-183	kJ/mol of formula units

Cell and atoms, written as CIF:
```
data_SrHg5Pt
_cell_length_a 4.971
_cell_length_b 4.971
_cell_length_c 7.461
_cell_angle_alpha 90.00
_cell_angle_beta 90.00
_cell_angle_gamma 90.00
_symmetry_space_group_name_H-M 'P 4/m m m'
_symmetry_Int_Tables_number 123
_symmetry_space_group_name_Hall '-P 4 2'
loop_
_atom_site_label
_atom_site_fract_x
_atom_site_fract_y
_atom_site_fract_z
_atom_site_occupancy
Sr1 0.000 0.000 0.000 1
Hg1 0.000 0.500 0.299 1
Hg2 0.500 0.500 0.000 1
Pt1 0.000 0.000 0.500 1
```

***

Entry 9:
First-principles (PBE) data for crystalline Sr6HgPt at its relaxed geometry, as listed in Alexandria.

Properties
total moment	0.000	μB/f.u.
calculated volume	45.76	Å³/atom
DFT formation energy	-309	kJ/mol of formula units

Cell and atoms, written as CIF:
```
data_Sr6HgPt
_cell_length_a 7.6281
_cell_length_b 7.6281
_cell_length_c 14.5290
_cell_angle_alpha 90.00
_cell_angle_beta 90.00
_cell_angle_gamma 120.00
_symmetry_space_group_name_H-M 'P -3 1 c'
_symmetry_Int_Tables_number 163
_symmetry_space_group_name_Hall '-P 3 2c'
loop_
_atom_site_label
_atom_site_fract_x
_atom_site_fract_y
_atom_site_fract_z
_atom_site_occupancy
Sr1 0.0108 0.3261 0.1198 1
Hg1 0.3333 0.6667 0.7500 1
Pt1 0.0000 0.0000 0.0000 1
```

***

Entry 10:
First-principles (PBE) data for crystalline SrHgPt2 at its relaxed geometry, as listed in Alexandria.

Properties
total moment	0.000	μB/f.u.
calculated volume	21.16	Å³/atom
DFT formation energy	-114	kJ/mol of formula units

Cell and atoms, written as CIF:
```
data_SrHgPt2
_cell_length_a 3.165
_cell_length_b 4.105
_cell_length_c 6.514
_cell_angle_alpha 90.00
_cell_angle_beta 90.19
_cell_angle_gamma 90.00
_symmetry_space_group_name_H-M 'P 1 2/m 1'
_symmetry_Int_Tables_number 10
loop_
_symmetry_equiv_pos_as_xyz
'x,y,z'
'-x,-y,-z'
'-x,y,-z'
'x,-y,z'
loop_
_atom_site_label
_atom_site_fract_x
_atom_site_fract_y
_atom_site_fract_z
_atom_site_occupancy
Sr1 0.000 0.000 0.000 1
Hg1 0.000 0.000 0.500 1
Pt1 0.499 0.500 0.285 1
```

***

Entry 11:
First-principles (PBE) data for crystalline SrHg2Pt at its relaxed geometry, as listed in Alexandria.

Properties
total moment	0.000	μB/f.u.
calculated volume	23.82	Å³/atom
DFT formation energy	-142	kJ/mol of formula units

Cell and atoms, written as CIF:
```
data_SrHg2Pt
_cell_length_a 4.636
_cell_length_b 4.636
_cell_length_c 8.866
_cell_angle_alpha 90.00
_cell_angle_beta 90.00
_cell_angle_gamma 90.00
_symmetry_space_group_name_H-M 'I 4/m m m'
_symmetry_Int_Tables_number 139
_symmetry_space_group_name_Hall '-I 4 2'
loop_
_atom_site_label
_atom_site_fract_x
_atom_site_fract_y
_atom_site_fract_z
_atom_site_occupancy
Sr1 0.000 0.000 0.000 1
Hg1 0.000 0.500 0.250 1
Pt1 0.000 0.000 0.500 1
```

***

Entry 12:
First-principles (PBE) data for crystalline SrHg2Pt at its relaxed geometry, as listed in Alexandria.

Properties
total moment	0.000	μB/f.u.
calculated volume	26.81	Å³/atom
DFT formation energy	-110	kJ/mol of formula units

Cell and atoms, written as CIF:
```
data_SrHg2Pt
_cell_length_a 4.456
_cell_length_b 4.456
_cell_length_c 21.599
_cell_angle_alpha 90.00
_cell_angle_beta 90.00
_cell_angle_gamma 90.00
_symmetry_space_group_name_H-M 'I -4 2 d'
_symmetry_Int_Tables_number 122
_symmetry_space_group_name_Hall 'I -4 2bw'
loop_
_atom_site_label
_atom_site_fract_x
_atom_site_fract_y
_atom_site_fract_z
_atom_site_occupancy
Sr1 0.000 0.000 0.000 1
Hg1 0.213 0.250 0.625 1
Pt1 0.000 0.000 0.500 1
```